A relaxed BeFeGe crystal. Source: Alexandria via LeMat-Bulk, functional PBE.

abc: 2.787 3.722 3.722
angles: 120.00 90.00 90.00
Fractional positions:
Be 0.103 0.000 0.000
Ge 0.695 0.667 0.333
Fe 0.203 0.333 0.667

Computed properties:
Crystal system   trigonal
Volume   11.142 Å³ per atom
Total magnetic moment   0.000 μB per formula unit
Polymorph energy (0 for the lowest one)   0 meV/atom
Raw total energy   -5.45 eV/atom
D(E_F)   0.4261 states/eV/atom



A relaxed Pm6Tm crystal. Source: Alexandria via LeMat-Bulk, functional PBE.

abc: 6.566 6.566 11.285
angles: 90.00 90.00 90.00
Fractional positions:
Pm 0.500 0.500 0.137
Pm 0.000 0.000 0.137
Pm 0.000 0.000 0.863
Pm 0.500 0.500 0.863
Pm 0.832 0.668 0.360
Pm 0.332 0.832 0.360
Pm 0.668 0.168 0.360
Pm 0.168 0.332 0.360
Pm 0.668 0.832 0.640
Pm 0.168 0.668 0.640
Pm 0.832 0.332 0.640
Pm 0.332 0.168 0.640
Tm 0.500 0.000 0.000
Tm 0.000 0.500 0.000

Computed properties:
Crystal system   tetragonal
Volume   34.748 Å³ per atom
Total magnetic moment   0.000 μB per formula unit
Polymorph energy (0 for the lowest one)   0 meV/atom
Raw total energy   -4.46 eV/atom
D(E_F)   1.2174 states/eV/atom



A relaxed Ba2TaZn2O6 crystal. Source: Alexandria via LeMat-Bulk, functional PBE.

abc: 6.034 6.034 6.633
angles: 62.94 62.94 60.00
Fractional positions:
Ba 0.777 0.777 0.669
Ba 0.223 0.223 0.331
Ta 0.000 0.000 0.000
Zn 0.430 0.430 0.711
Zn 0.570 0.570 0.289
O 0.776 0.776 0.215
O 0.232 0.776 0.215
O 0.776 0.232 0.215
O 0.224 0.768 0.785
O 0.768 0.224 0.785
O 0.224 0.224 0.785

Computed properties:
Formation energy from raw total energies   -24.21 eV per formula unit
Crystal system   trigonal
Volume   16.179 Å³ per atom
Total magnetic moment   0.642 μB per formula unit
Raw total energy   -6.56 eV/atom
D(E_F)   0.2069 states/eV/atom



A relaxed ErU2RuC4 crystal. Source: Alexandria via LeMat-Bulk, functional PBE.

abc: 3.488 6.057 11.435
angles: 90.00 90.00 106.73
Fractional positions:
Er 0.112 0.224 0.750
Er 0.888 0.776 0.250
U 0.370 0.741 0.549
U 0.630 0.259 0.049
U 0.630 0.259 0.451
U 0.370 0.741 0.951
Ru 0.851 0.702 0.750
Ru 0.149 0.298 0.250
C 0.265 0.531 0.117
C 0.735 0.469 0.617
C 0.735 0.469 0.883
C 0.265 0.531 0.383
C 0.000 0.000 0.500
C 0.000 0.000 0.000
C 0.454 0.909 0.750
C 0.546 0.091 0.250

Computed properties:
Crystal system   orthorhombic
Volume   14.461 Å³ per atom
Total magnetic moment   0.001 μB per formula unit
Raw total energy   -9.21 eV/atom
D(E_F)   0.8439 states/eV/atom



> Which of these has the lowest volume?

BeFeGe



> Which formula does entry 1 have?

BeFeGe



Copy entry 4 word for word.
A relaxed ErU2RuC4 crystal. Source: Alexandria via LeMat-Bulk, functional PBE.

abc: 3.488 6.057 11.435
angles: 90.00 90.00 106.73
Fractional positions:
Er 0.112 0.224 0.750
Er 0.888 0.776 0.250
U 0.370 0.741 0.549
U 0.630 0.259 0.049
U 0.630 0.259 0.451
U 0.370 0.741 0.951
Ru 0.851 0.702 0.750
Ru 0.149 0.298 0.250
C 0.265 0.531 0.117
C 0.735 0.469 0.617
C 0.735 0.469 0.883
C 0.265 0.531 0.383
C 0.000 0.000 0.500
C 0.000 0.000 0.000
C 0.454 0.909 0.750
C 0.546 0.091 0.250

Computed properties:
Crystal system   orthorhombic
Volume   14.461 Å³ per atom
Total magnetic moment   0.001 μB per formula unit
Raw total energy   -9.21 eV/atom
D(E_F)   0.8439 states/eV/atom